Material: YMoS
Method: DFT, PBE
State: relaxed

Properties
DOS(E_F), states/eV per cell: 5.27
E_form (uncorrected), kJ/mol of formula units: -221
Calculated total energy, eV/cell: -94.85
Calculated volume, Å³/cell: 239.6
Energy relative to the lowest polymorph listed for this composition, kJ/mol of formula units: 62

Lattice parameters (Å, degrees): 3.6104 3.5336 18.7806 90.00 90.00 90.00
Closest atoms and distances in Å follow each position.
Atoms (fractional coordinates):
Y: 0.5000 0.5000 0.2118  5 S 2.67-2.71
Y: 0.5000 0.0000 0.7118  5 S 2.67-2.71
Y: 0.0000 0.0000 0.3955  4 S 2.64
Y: 0.0000 0.5000 0.8955  4 S 2.64
S: 0.5000 0.0000 0.8542  1 Mo 2.60, 5 Y 2.64-2.67
S: 0.0000 0.5000 0.6602  2 Mo 2.58, 4 Y 2.71
S: 0.5000 0.5000 0.3542  1 Mo 2.60, 5 Y 2.64-2.67
S: 0.0000 0.0000 0.1602  2 Mo 2.58, 4 Y 2.71
Mo: 0.0000 0.0000 0.5603  2 S 2.58, 4 Mo 2.83
Mo: 0.5000 0.5000 0.4926  1 S 2.60, 4 Mo 2.83
Mo: 0.5000 0.0000 0.9926  1 S 2.60, 4 Mo 2.83
Mo: 0.0000 0.5000 0.0603  2 S 2.58, 4 Mo 2.83



Material: YMoS
Method: DFT, PBE
State: relaxed

Properties
DOS(E_F), states/eV per cell: 8.15
E_form (uncorrected), kJ/mol of formula units: -227
Calculated total energy, eV/cell: -95.09
Calculated volume, Å³/cell: 243.9
Energy relative to the lowest polymorph listed for this composition, kJ/mol of formula units: 56

Lattice parameters (Å, degrees): 7.2951 3.6039 9.4875 90.00 102.06 90.00
Closest atoms and distances in Å follow each position.
Atoms (fractional coordinates):
Y: 0.7730 0.5000 0.0143  4 S 2.78-2.90, 1 Mo 3.11
Y: 0.3862 0.0000 0.7323  5 S 2.69-2.83
Y: 0.3862 0.5000 0.2323  5 S 2.69-2.83
Y: 0.7730 0.0000 0.5143  4 S 2.78-2.90, 1 Mo 3.11
Mo: 0.1229 0.5000 0.4682  2 Mo 2.50, 2 S 2.57
Mo: 0.1229 0.0000 0.9682  2 Mo 2.50, 2 S 2.57
Mo: 0.0216 0.0000 0.2856  2 S 2.45-2.65, 2 Mo 2.50
Mo: 0.0216 0.5000 0.7856  2 S 2.45-2.65, 2 Mo 2.50
S: 0.3660 0.0000 0.4456  3 Mo 2.57-2.65, 3 Y 2.69-2.74
S: 0.6795 0.0000 0.2144  1 Mo 2.45
S: 0.3660 0.5000 0.9456  3 Mo 2.57-2.65, 3 Y 2.69-2.74
S: 0.6795 0.5000 0.7144  1 Mo 2.45



Material: YMoS
Method: DFT, PBE
State: relaxed

Properties
DOS(E_F), states/eV per cell: 4.94
E_form (uncorrected), kJ/mol of formula units: -213
Calculated total energy, eV/cell: -94.54
Calculated volume, Å³/cell: 260.3
Energy relative to the lowest polymorph listed for this composition, kJ/mol of formula units: 69

Lattice parameters (Å, degrees): 8.7992 3.6130 9.1936 90.00 117.07 90.00
Closest atoms and distances in Å follow each position.
Atoms (fractional coordinates):
S: 0.6734 0.0000 0.6147  1 Mo 2.54, 3 Y 2.73-2.80
S: 0.4099 0.0000 0.2294  1 Mo 2.45, 3 Y 2.65-2.66
S: 0.6734 0.5000 0.1147  1 Mo 2.54, 3 Y 2.73-2.80
S: 0.4099 0.5000 0.7294  1 Mo 2.45, 3 Y 2.65-2.66
Y: 0.7737 0.0000 0.3744  4 S 2.73-2.85, 1 Mo 3.03
Y: 0.3971 0.0000 0.9356  5 S 2.65-2.87
Y: 0.3971 0.5000 0.4356  5 S 2.65-2.87
Y: 0.7737 0.5000 0.8744  4 S 2.73-2.85, 1 Mo 3.03
Mo: 0.0982 0.0000 0.1193  1 S 2.45, 2 Mo 2.49
Mo: 0.9970 0.5000 0.2409  2 Mo 2.49, 1 S 2.54
Mo: 0.9970 0.0000 0.7409  2 Mo 2.49, 1 S 2.54
Mo: 0.0982 0.5000 0.6193  1 S 2.45, 2 Mo 2.49



Material: YMoS
Method: DFT, PBE
State: relaxed

Properties
DOS(E_F), states/eV per cell: 3.40
E_form (uncorrected), kJ/mol of formula units: -210
Calculated total energy, eV/cell: -47.20
Calculated volume, Å³/cell: 113.7
Energy relative to the lowest polymorph listed for this composition, kJ/mol of formula units: 72

Lattice parameters (Å, degrees): 3.6781 7.6354 4.0474 90.00 90.48 90.00
Closest atoms and distances in Å follow each position.
Atoms (fractional coordinates):
Mo: 0.5000 0.0000 0.5000  2 S 2.60, 4 Mo 2.72-2.75
Mo: 0.0000 0.0000 0.0000  2 S 2.60, 4 Mo 2.72-2.75
Y: 0.2500 0.3399 0.2500  5 S 2.75-2.82, 2 Mo 2.93
Y: 0.7500 0.6601 0.7500  5 S 2.75-2.82, 2 Mo 2.93
S: 0.2500 0.7095 0.2500  2 Mo 2.60, 5 Y 2.75-2.82
S: 0.7500 0.2905 0.7500  2 Mo 2.60, 5 Y 2.75-2.82



Which of these has the highest calculated total energy? number 4



Look up the energy relative to the lowest polymorph listed for this composition of the fourth one. 72 kJ/mol of formula units